Material: PbAu2Cl
Method: DFT, GGA-PBEsol
State: optimized geometry

- ΔE to the lowest computed polymorph: 130 meV per atom
- DFT total energy: -3.550 eV/atom
- Formation energy from raw total energies: -86.7 meV/atom

```
data_PbAu2Cl
_space_group_name_H-M_alt 'I 4/m m m'
_space_group_IT_number 139
_space_group_name_Hall '-I 4 2'
_cell_length_a 3.9776
_cell_length_b 3.9776
_cell_length_c 10.8387
_cell_angle_alpha 90.00
_cell_angle_beta 90.00
_cell_angle_gamma 90.00
loop_
_atom_site_label
_atom_site_type_symbol
_atom_site_fract_x
_atom_site_fract_y
_atom_site_fract_z
Pb1 Pb 0.0000 0.0000 0.0000
Au1 Au 0.0000 0.5000 0.2500
Cl1 Cl 0.0000 0.0000 0.5000
```